No. 1
Entry from Alexandria: a relaxed Pd4N2F5 crystal (GGA-PBE).

Lattice parameters (Å, degrees): 5.309 5.544 7.228 72.23 72.82 72.17
Positions (direct):
1 Pd 0.185 0.270 0.023
2 Pd 0.219 0.590 0.306
3 Pd 0.781 0.410 0.694
4 Pd 0.815 0.730 0.977
5 N 0.395 0.478 0.057
6 N 0.605 0.522 0.943
7 F 0.000 0.000 0.000
8 F 0.010 0.688 0.575
9 F 0.419 0.877 0.212
10 F 0.581 0.123 0.788
11 F 0.990 0.312 0.425

Summary:
ΔE_f (raw): -0.652 eV per atom


No. 2
Entry from Alexandria: a relaxed MgRe2Pt crystal (GGA-PBE).

Lattice parameters (Å, degrees): 3.360 4.026 4.559 90.00 90.00 90.00
Positions (direct):
1 Mg 0.000 0.000 0.000
2 Re 0.000 0.500 0.500
3 Re 0.500 0.000 0.500
4 Pt 0.500 0.500 0.000

Summary:
DFT formation energy: 0.1 eV/f.u.


No. 3
Entry from Alexandria: a relaxed KLi2Ir crystal (GGA-PBE).

Lattice parameters (Å, degrees): 3.233 3.233 8.327 90.00 90.00 90.00
Positions (direct):
1 K 0.000 0.000 0.000
2 Li 0.000 0.000 0.597
3 Li 0.500 0.500 0.412
4 Ir 0.500 0.500 0.717

Summary:
DFT formation energy: 1.4 eV/f.u.
excess energy over the best structure of this formula in the dataset: 0.486 eV per formula unit


No. 4
Entry from Alexandria: a relaxed ScZn2Ni crystal (GGA-PBE).

Lattice parameters (Å, degrees): 9.849 9.849 9.849 158.05 158.05 31.24
Positions (direct):
1 Sc 0.000 0.000 0.000
2 Sc 0.750 0.250 0.500
3 Zn 0.157 0.625 0.032
4 Zn 0.375 0.407 0.532
5 Zn 0.593 0.125 0.968
6 Zn 0.875 0.843 0.468
7 Ni 0.250 0.750 0.500
8 Ni 0.500 0.500 0.000

Summary:
DFT formation energy: -0.2 eV/f.u.


No. 5
Entry from Alexandria: a relaxed RbS2F crystal (GGA-PBE).

Lattice parameters (Å, degrees): 9.555 9.555 9.555 19.04 19.04 19.04
Positions (direct):
1 Rb 0.000 0.000 0.000
2 S 0.104 0.104 0.104
3 S 0.896 0.896 0.896
4 F 0.500 0.500 0.500

Summary:
ΔE_f (raw): 0.699 eV per atom
excess energy over the best structure of this formula in the dataset: 6.937 eV per formula unit


No. 6
Entry from Alexandria: a relaxed GdErSe crystal (GGA-PBE).

Lattice parameters (Å, degrees): 6.644 6.644 6.644 148.57 148.57 45.05
Positions (direct):
1 Gd 0.000 0.000 0.000
2 Er 0.712 0.712 0.000
3 Se 0.351 0.351 0.000

Summary:
ΔE_f (raw): -0.967 eV per atom
excess energy over the best structure of this formula in the dataset: 0.468 eV per formula unit